YSc2Se: relaxed, PBE-GGA.

a = 7.2249 Å, b = 7.2249 Å, c = 7.2249 Å
α = 90.00°, β = 90.00°, γ = 90.00°
Last column: nearest neighbours and their distance in Å.
Atoms (fractional coordinates):
Y 0.0000 0.0000 0.0000  4 Sc 3.13, 4 Se 3.13
Y 0.0000 0.5000 0.5000  4 Sc 3.13, 4 Se 3.13
Y 0.5000 0.0000 0.5000  4 Sc 3.13, 4 Se 3.13
Y 0.5000 0.5000 0.0000  4 Sc 3.13, 4 Se 3.13
Sc 0.0000 0.0000 0.5000  4 Se 3.13, 4 Sc 3.13
Sc 0.0000 0.5000 0.0000  4 Se 3.13, 4 Sc 3.13
Sc 0.2500 0.2500 0.7500  4 Sc 3.13, 4 Y 3.13
Sc 0.2500 0.7500 0.2500  4 Sc 3.13, 4 Y 3.13
Sc 0.5000 0.0000 0.0000  4 Se 3.13, 4 Sc 3.13
Sc 0.5000 0.5000 0.5000  4 Se 3.13, 4 Sc 3.13
Sc 0.7500 0.2500 0.2500  4 Sc 3.13, 4 Y 3.13
Sc 0.7500 0.7500 0.7500  4 Sc 3.13, 4 Y 3.13
Se 0.2500 0.2500 0.2500  4 Sc 3.13, 4 Y 3.13
Se 0.2500 0.7500 0.7500  4 Sc 3.13, 4 Y 3.13
Se 0.7500 0.2500 0.7500  4 Sc 3.13, 4 Y 3.13
Se 0.7500 0.7500 0.2500  4 Sc 3.13, 4 Y 3.13

Computed properties:
**Uncorrected energy**: -5.79 eV per atom
**SG**: No. 216
**Energy relative to the elements, uncorrected**: -138 meV/atom